1.
Crystalline La2Si4CN6 at its relaxed geometry. Source: Alexandria via LeMat-Bulk, functional PBEsol.

a b c (Å): 10.152 5.984 10.514
angles (deg): 90.00 90.00 90.00
Space group Pnma (No. 62)
One atom of each set of equivalent atoms:
La  0.049  0.250  0.105 x4
La  0.093  0.750  0.560 x4
Si  0.018  0.250  0.738 x4
Si  0.201  0.750  0.076 x4
Si  0.228  0.003  0.330 x8
C  0.206  0.250  0.735 x4
N  0.033  0.750  0.107 x4
N  0.054  0.519  0.336 x8
N  0.219  0.507  0.987 x8
N  0.231  0.750  0.752 x4

Properties
Formation energy without anion corrections (eV/atom): -1.31

2.
Crystalline AsOsRh2 at its relaxed geometry. Source: Alexandria via LeMat-Bulk, functional PBEsol.

a b c (Å): 5.319 7.646 2.755
angles (deg): 90.00 90.00 90.00
Space group Cmmm (No. 65)
One atom of each set of equivalent atoms:
As  0.000  0.000  0.000 x2
Os  0.000  0.500  0.000 x2
Rh  0.250  0.250  0.500 x4

Properties
ΔH_f (0 K) (eV/atom): 0.1126

3.
Crystalline RbAg2Sb at its relaxed geometry. Source: Alexandria via LeMat-Bulk, functional PBEsol.

a b c (Å): 5.680 5.680 17.623
angles (deg): 90.00 90.00 90.00
Space group I4_1/amd (No. 141, origin choice 2)
One atom of each set of equivalent atoms:
Rb  0.000  0.250  0.375 x4
Ag  0.000  0.000  0.000 x8
Sb  0.000  0.250  0.875 x4

Properties
Formation energy without anion corrections (eV/atom): -0.05

4.
Crystalline La3ZnO at its relaxed geometry. Source: Alexandria via LeMat-Bulk, functional PBEsol.

a b c (Å): 4.947 4.947 4.947
angles (deg): 90.00 90.00 90.00
Space group Pm-3m (No. 221)
One atom of each set of equivalent atoms:
La  0.000  0.000  0.500 x3
Zn  0.500  0.500  0.500 x1
O  0.000  0.000  0.000 x1

Properties
Formation energy without anion corrections (eV/atom): -1.26

5.
Crystalline In2SiNi at its relaxed geometry. Source: Alexandria via LeMat-Bulk, functional PBEsol.

a b c (Å): 9.308 2.964 6.016
angles (deg): 90.00 115.19 90.00
Space group Cm (No. 8)
One atom of each set of equivalent atoms:
In  0.000  0.000  0.000 x2
In  0.160  0.000  0.617 x2
Si  0.319  0.500  0.264 x2
Ni  0.421  0.000  0.585 x2

Properties
Formation energy without anion corrections (eV/atom): 0.02

6.
Crystalline LaTcRh2 at its relaxed geometry. Source: Alexandria via LeMat-Bulk, functional PBEsol.

a b c (Å): 5.749 7.969 2.897
angles (deg): 90.00 90.00 90.00
Space group Cmmm (No. 65)
One atom of each set of equivalent atoms:
La  0.000  0.000  0.000 x2
Tc  0.000  0.500  0.000 x2
Rh  0.250  0.250  0.500 x4

Properties
ΔH_f (0 K) (eV/atom): 0.0336
Distance to the lowest polymorph of the same formula (eV per formula unit): 0.000

7.
Crystalline MgReHg2 at its relaxed geometry. Source: Alexandria via LeMat-Bulk, functional PBEsol.

a b c (Å): 3.533 4.447 9.351
angles (deg): 90.00 90.00 90.00
Space group Cmm2 (No. 35)
One atom of each set of equivalent atoms:
Mg  0.000  0.000  0.000 x2
Re  0.000  0.500  0.223 x2
Hg  0.000  0.000  0.468 x2
Hg  0.000  0.500  0.748 x2

Properties
ΔH_f (0 K) (eV/atom): 0.4098

8.
Crystalline CsMgPH12O10 at its relaxed geometry. Source: Alexandria via LeMat-Bulk, functional PBEsol.

a b c (Å): 9.978 9.978 9.978
angles (deg): 90.00 90.00 90.00
Space group F-43m (No. 216)
One atom of each set of equivalent atoms:
Cs  0.000  0.000  0.000 x4
Mg  0.250  0.250  0.750 x4
P  0.000  0.000  0.500 x4
H  0.014  0.191  0.309 x48
O  0.042  0.250  0.750 x24
O  0.090  0.090  0.410 x16

| no. | total energy (eV/cell) |
| --- | --- |
| 1 | -445.984 |
| 2 | -66.298 |
| 3 | -49.653 |
| 4 | -29.162 |
| 5 | -35.602 |
| 6 | -65.510 |
| 7 | -29.087 |
| 8 | -551.997 |